# DyYAu6 PBE optimized geometry
# Formation energy ... -5.37 eV per formula unit
data_DyYAu6
_cell_length_a 4.529
_cell_length_b 5.114
_cell_length_c 8.186
_cell_angle_alpha 82.08
_cell_angle_beta 73.94
_cell_angle_gamma 63.72
_symmetry_space_group_name_H-M 'P 1'
_symmetry_Int_Tables_number 1
_symmetry_space_group_name_Hall 'P 1'
loop_
_atom_site_label
_atom_site_type_symbol
_atom_site_fract_x
_atom_site_fract_y
_atom_site_fract_z
_atom_site_occupancy
Au1 Au 0.251 0.873 0.626 1
Au2 Au 0.251 0.374 0.123 1
Au3 Au 0.749 0.127 0.374 1
Au4 Au 0.501 0.248 0.750 1
Au5 Au 0.499 0.752 0.250 1
Au6 Au 0.749 0.626 0.877 1
Y1 Y 0.000 0.500 0.500 1
Dy1 Dy 0.000 0.000 0.000 1